Density functional theory data (PBE) for crystalline Zr3TlGa at its relaxed geometry.

Lattice parameters (Å, degrees): 5.030 5.030 5.030 90.00 90.00 90.00
Space group Pm-3m (No. 221)
Inequivalent atoms, fractional coordinates:
Zr 0.000 0.000 0.500 [3 per cell]
Tl 0.500 0.500 0.500 [1 per cell]
Ga 0.000 0.000 0.000 [1 per cell]

Computed properties:
Formation energy (eV/atom): 0.2627
Total moment (μB/atom): 0.000
Crystal system: cubic
E_tot (eV/cell): -29.7
Excess energy over the best structure of this formula in the dataset (meV/atom): 304